DyPa2CoO8 | PBE with a Hubbard U | relaxed

VASP energy in eV per formula unit: -104.85
Crystal system: tetragonal
Symmetry: I-4, No. 82
Total magnetic moment in μB per cell: 4.068
V in Å³ per cell: 154.1

```
data_DyPa2CoO8
_chemical_formula_sum 'Dy1 Pa2 Co1 O8'
_symmetry_space_group_name_H-M 'P 1'
_symmetry_Int_Tables_number 1
_symmetry_space_group_name_Hall 'P 1'
_cell_length_a 6.610
_cell_length_b 6.610
_cell_length_c 6.610
_cell_angle_alpha 132.47
_cell_angle_beta 132.47
_cell_angle_gamma 69.49
loop_
_atom_site_label
_atom_site_fract_x
_atom_site_fract_y
_atom_site_fract_z
Dy1 0.000 0.000 0.000
Pa1 0.250 0.750 0.500
Pa2 0.500 0.500 0.000
Co1 0.750 0.250 0.500
O1 0.071 0.135 0.517
O2 0.204 0.696 0.096
O3 0.304 0.400 0.508
O4 0.446 0.929 0.064
O5 0.600 0.108 0.904
O6 0.618 0.554 0.483
O7 0.865 0.382 0.936
O8 0.892 0.796 0.492
```